5
Lattice="3.761 0.000 0.000 0.000 3.761 0.000 0.000 0.000 3.761" Properties=species:S:1:pos:R:3 comment="GGA-PBE TeC3S, relaxed" raw_formation_energy_mev_per_atom=2562 pbc="T T T"
S 0.000 0.000 0.000
C 0.000 0.000 1.881
C 1.881 0.000 0.000
C 0.000 1.881 0.000
Te 1.881 1.881 1.881

=====

4
Lattice="1.545 1.781 3.882 -2.884 1.981 2.896 -0.971 -1.999 3.961" Properties=species:S:1:pos:R:3 comment="GGA-PBE TeCS2, relaxed" raw_formation_energy_mev_per_atom=1786 pbc="T T T"
C 0.000 0.000 0.000
Te -1.155 0.882 5.370
S -0.577 0.441 2.685
S -1.732 1.323 8.054

=====

5
Lattice="4.788 0.000 0.000 0.000 4.788 0.000 0.000 0.000 4.788" Properties=species:S:1:pos:R:3 comment="GGA-PBE Te3CS, relaxed" raw_formation_energy_mev_per_atom=1191 pbc="T T T"
C 0.000 0.000 0.000
S 2.394 2.394 2.394
Te 0.000 2.394 0.000
Te 0.000 0.000 2.394
Te 2.394 0.000 0.000

=====

4
Lattice="1.900 0.000 7.658 -0.950 1.646 7.658 -0.950 -1.646 7.658" Properties=species:S:1:pos:R:3 comment="GGA-PBE TeCS2, relaxed" raw_formation_energy_mev_per_atom=1300 pbc="T T T"
Te 0.000 0.000 0.000
S 0.000 0.000 20.346
S 0.000 0.000 2.628
C 0.000 0.000 11.487

=====

What D(E_F) values result from the calculations? In sequence: 0.54 0.61 0.83 0.57 states/eV per atom.
What final energy values result from the calculations? In sequence: -4.43 -3.37 -3.36 -3.85 eV per atom.
What polymorph energy (0 for the lowest one) values result from the calculations? In sequence: 0.0000 1.2895 0.0000 0.8039 eV per atom.